This record from the Open Quantum Materials Database describes a relaxed ErAl2Pd3 crystal. The functional is PBE-GGA.

Results
**Total DFT energy (no corrections)**: -66.573 eV for the cell shown
**Crystal system**: hexagonal
**Space-group type**: P6_3/mmc (194)

Cell: 4.3426 4.3426 12.5840 Å, 90.00 90.00 120.00°
With the nearest neighbours (Å) after each atom.
Positions (direct):
Er: 0.0000 0.0000 0.2500  8 Pd 2.94-3.15
Er: 0.0000 0.0000 0.7500  8 Pd 2.94-3.15
Al: 0.3333 0.6667 0.0756  7 Pd 2.57-2.68
Al: 0.3333 0.6667 0.4244  7 Pd 2.57-2.68
Al: 0.6667 0.3333 0.5756  7 Pd 2.57-2.68
Al: 0.6667 0.3333 0.9244  7 Pd 2.57-2.68
Pd: 0.0000 0.0000 0.0000  6 Al 2.68, 6 Pd 2.98
Pd: 0.0000 0.0000 0.5000  6 Al 2.68, 6 Pd 2.98
Pd: 0.3333 0.6667 0.6287  4 Al 2.57-2.59
Pd: 0.3333 0.6667 0.8713  4 Al 2.57-2.59
Pd: 0.6667 0.3333 0.1287  4 Al 2.57-2.59
Pd: 0.6667 0.3333 0.3713  4 Al 2.57-2.59